Below is an optimized crystal structure of RbPuPdI6, with properties calculated at the GGA-PBE level.

## Properties
raw formation energy = -0.80 eV per atom
volume = 424.6 Å³ per cell

Geometry as POSCAR:
```
RbPuPdI6
1.0
7.689 0.000 0.000
-3.844 6.659 0.000
0.000 0.000 8.293
Rb Pu Pd I
1 1 1 6
direct
0.000 0.000 0.000
0.333 0.667 0.500
0.667 0.333 0.500
0.374 0.018 0.705
0.374 0.356 0.295
0.644 0.018 0.295
0.644 0.626 0.705
0.982 0.356 0.705
0.982 0.626 0.295
```



Below is an optimized crystal structure of Tb3BiP2Rh9, with properties calculated at the GGA-PBE level.

## Properties
energy of formation = -9.3 eV per formula unit
volume = 301.0 Å³ per cell

Geometry as POSCAR:
```
Tb3BiP2Rh9
1.0
6.054 0.000 0.000
-3.027 5.243 0.000
0.000 0.000 9.482
Tb Bi P Rh
3 1 2 9
direct
0.000 0.000 0.000
0.333 0.667 0.736
0.667 0.333 0.264
0.000 0.000 0.500
0.333 0.667 0.157
0.667 0.333 0.843
0.000 0.500 0.000
0.151 0.302 0.266
0.151 0.849 0.266
0.302 0.151 0.734
0.500 0.000 0.000
0.500 0.500 0.000
0.698 0.849 0.266
0.849 0.151 0.734
0.849 0.698 0.734
```



Below is an optimized crystal structure of BePNO2, with properties calculated at the GGA-PBE level.

## Properties
raw formation energy = 0.16 eV per atom
volume = 54.2 Å³ per cell

Geometry as POSCAR:
```
BePNO2
1.0
3.034 0.000 0.000
0.000 3.034 0.000
0.000 0.000 5.893
Be P N O
1 1 1 2
direct
0.000 0.000 0.000
0.500 0.500 0.500
0.000 0.000 0.500
0.000 0.500 0.000
0.500 0.000 0.000
```



> Among the records above, which one has the highest volume?

RbPuPdI6



> Look up the volume of the second one.

301.0 Å³ per cell



> Which of these has the lowest volume?

BePNO2



> The highest volume belongs to which entry?

RbPuPdI6